# 1
SiPN | PBE-GGA | optimized geometry

Geometry as POSCAR:
```
SiPN
1.0
-1.394 2.146 3.707
1.394 -2.146 3.707
1.394 2.146 -3.707
Si P N
1 1 1
Direct
0.000 0.000 0.000
0.627 0.127 0.500
0.857 0.357 0.500
```

Values from the calculation:
Energy relative to the lowest polymorph listed for this composition (meV/atom): 388
Formation energy (no corrections) (eV per atom): -0.141
SG: No. 44

***

# 2
SiPN2 | PBE-GGA | optimized geometry

Geometry as POSCAR:
```
SiPN2
1.0
2.657 0.000 0.000
0.000 1.321 6.361
0.000 -1.321 6.361
Si P N
1 1 2
Direct
0.000 0.000 0.000
0.000 0.274 0.274
0.000 0.857 0.857
0.500 0.524 0.524
```

Values from the calculation:
Energy relative to the lowest polymorph listed for this composition (meV/atom): 154
Formation energy (no corrections) (eV per atom): -0.143
SG: No. 38

***

# 3
SiPN2 | PBE-GGA | optimized geometry

Geometry as POSCAR:
```
SiPN2
1.0
2.312 -2.894 0.000
2.312 2.894 0.000
-2.093 0.000 3.548
Si P N
1 1 2
Direct
0.000 0.000 0.000
0.593 0.407 0.000
0.222 0.053 0.483
0.947 0.778 0.517
```

Values from the calculation:
Energy relative to the lowest polymorph listed for this composition (meV/atom): 602
Formation energy (no corrections) (eV per atom): 0.306
SG: No. 5

***

# 4
SiP3N | PBE-GGA | optimized geometry

Geometry as POSCAR:
```
SiP3N
1.0
4.497 0.000 0.000
0.000 4.497 0.000
0.000 0.000 4.497
Si P N
1 3 1
Direct
0.000 0.000 0.000
0.000 0.000 0.500
0.000 0.500 0.000
0.500 0.000 0.000
0.500 0.500 0.500
```

Values from the calculation:
Energy relative to the lowest polymorph listed for this composition (meV/atom): 828
Formation energy (no corrections) (eV per atom): 1.797
SG: No. 221

***

# 5
SmSiP2N6 | PBE-GGA | optimized geometry

Geometry as POSCAR:
```
SmSiP2N6
1.0
5.005 -4.898 0.000
5.005 4.898 0.000
-2.423 0.000 5.116
Sm Si P N
2 2 4 12
Direct
0.129 0.871 0.750
0.871 0.129 0.250
0.226 0.774 0.250
0.774 0.226 0.750
0.221 0.371 0.828
0.371 0.221 0.328
0.629 0.779 0.672
0.779 0.629 0.172
0.009 0.229 0.708
0.209 0.609 0.954
0.229 0.009 0.208
0.272 0.351 0.553
0.351 0.272 0.053
0.391 0.791 0.546
0.609 0.209 0.454
0.649 0.728 0.947
0.728 0.649 0.447
0.771 0.991 0.792
0.791 0.391 0.046
0.991 0.771 0.292
```

Values from the calculation:
Formation energy (no corrections) (eV per atom): -0.638
SG: No. 15

***

# 6
SiTe2PN | PBE-GGA | optimized geometry

Geometry as POSCAR:
```
SiTe2PN
1.0
5.573 0.000 0.000
0.000 5.573 0.000
0.000 0.000 3.288
Si Te P N
1 2 1 1
Direct
0.000 0.000 0.000
0.000 0.500 0.500
0.500 0.000 0.500
0.500 0.500 0.500
0.500 0.500 0.000
```

Values from the calculation:
Energy relative to the lowest polymorph listed for this composition (meV/atom): 163
Formation energy (no corrections) (eV per atom): 0.699
SG: No. 123

***

# 7
SiTeP2N | PBE-GGA | optimized geometry

Geometry as POSCAR:
```
SiTeP2N
1.0
4.338 0.000 0.000
0.000 4.338 0.000
0.000 0.000 4.139
Si Te P N
1 1 2 1
Direct
0.000 0.000 0.000
0.500 0.500 0.000
0.000 0.500 0.500
0.500 0.000 0.500
0.000 0.000 0.500
```

Values from the calculation:
Formation energy (no corrections) (eV per atom): 0.899
SG: No. 123

***

# 8
SiTe2PN | PBE-GGA | optimized geometry

Geometry as POSCAR:
```
SiTe2PN
1.0
5.567 0.000 0.000
0.000 5.567 0.000
0.000 0.000 3.274
Si Te P N
1 2 1 1
Direct
0.000 0.000 0.000
0.000 0.500 0.000
0.500 0.000 0.000
0.500 0.500 0.500
0.000 0.000 0.500
```

Values from the calculation:
Energy relative to the lowest polymorph listed for this composition (meV/atom): 0
Formation energy (no corrections) (eV per atom): 0.536
SG: No. 123

***

# 9
Ti2SiPN | PBE-GGA | optimized geometry

Geometry as POSCAR:
```
Ti2SiPN
1.0
4.542 0.000 0.000
0.000 4.542 0.000
0.000 0.000 4.193
Ti Si P N
2 1 1 1
Direct
0.000 0.500 0.000
0.500 0.000 0.000
0.000 0.000 0.500
0.000 0.000 0.000
0.500 0.500 0.500
```

Values from the calculation:
Formation energy (no corrections) (eV per atom): 1.012
SG: No. 123

***

# 10
YSiP2N6 | PBE-GGA | optimized geometry

Geometry as POSCAR:
```
YSiP2N6
1.0
4.862 -4.923 0.000
4.862 4.923 0.000
-2.530 0.000 5.037
Y Si P N
2 2 4 12
Direct
0.125 0.875 0.750
0.875 0.125 0.250
0.204 0.796 0.250
0.796 0.204 0.750
0.237 0.392 0.858
0.392 0.237 0.358
0.608 0.763 0.642
0.763 0.608 0.142
0.038 0.214 0.709
0.189 0.626 0.951
0.214 0.038 0.209
0.332 0.376 0.617
0.374 0.811 0.549
0.376 0.332 0.117
0.624 0.668 0.883
0.626 0.189 0.451
0.668 0.624 0.383
0.786 0.962 0.791
0.811 0.374 0.049
0.962 0.786 0.291
```

Values from the calculation:
Formation energy (no corrections) (eV per atom): -0.669
SG: No. 15

***

# 11
ZnSiP2N6 | PBE-GGA | optimized geometry

Geometry as POSCAR:
```
ZnSiP2N6
1.0
-2.666 5.392 4.526
2.666 -5.392 4.526
2.666 5.392 -4.526
Zn Si P N
2 2 4 12
Direct
0.250 0.250 0.000
0.750 0.750 0.000
0.250 0.750 0.500
0.750 0.250 0.500
0.170 0.721 0.891
0.330 0.221 0.551
0.670 0.779 0.449
0.830 0.279 0.109
0.064 0.435 0.206
0.229 0.857 0.794
0.234 0.992 0.226
0.266 0.492 0.758
0.271 0.065 0.628
0.436 0.643 0.372
0.564 0.357 0.628
0.729 0.935 0.372
0.734 0.508 0.242
0.766 0.008 0.774
0.771 0.143 0.206
0.936 0.565 0.794
```

Values from the calculation:
Formation energy (no corrections) (eV per atom): -0.215
SG: No. 72

***

# 12
ZnSi2PN | PBE-GGA | optimized geometry

Geometry as POSCAR:
```
ZnSi2PN
1.0
4.507 0.000 0.000
0.000 4.507 0.000
0.000 0.000 4.458
Zn Si P N
1 2 1 1
Direct
0.000 0.000 0.000
0.000 0.500 0.500
0.500 0.000 0.500
0.000 0.000 0.500
0.500 0.500 0.000
```

Values from the calculation:
Formation energy (no corrections) (eV per atom): 1.607
SG: No. 123

***

# 13
SmPN2 | PBE-GGA | optimized geometry

Geometry as POSCAR:
```
SmPN2
1.0
3.727 0.000 0.000
0.000 5.809 0.000
-0.024 0.000 6.240
Sm P N
2 2 4
Direct
0.250 0.250 0.150
0.750 0.750 0.850
0.250 0.250 0.658
0.750 0.750 0.342
0.249 0.020 0.801
0.249 0.480 0.801
0.751 0.520 0.199
0.751 0.980 0.199
```

Values from the calculation:
Energy relative to the lowest polymorph listed for this composition (meV/atom): 0
Formation energy (no corrections) (eV per atom): -0.972
SG: No. 11

***

# 14
SmPN | PBE-GGA | optimized geometry

Geometry as POSCAR:
```
SmPN
1.0
-1.810 1.810 8.544
1.810 -1.810 8.544
1.810 1.810 -8.544
Sm P N
2 2 2
Direct
0.172 0.172 0.000
0.828 0.828 0.000
0.414 0.414 0.000
0.586 0.586 0.000
0.312 0.312 0.000
0.688 0.688 0.000
```

Values from the calculation:
Formation energy (no corrections) (eV per atom): -0.877
SG: No. 139

***

# 15
Sm2PN | PBE-GGA | optimized geometry

Geometry as POSCAR:
```
Sm2PN
1.0
1.872 1.081 6.713
-1.872 1.081 6.713
0.000 -2.161 6.713
Sm P N
2 1 1
Direct
0.000 0.000 0.000
0.152 0.152 0.152
0.575 0.575 0.575
0.405 0.405 0.405
```

Values from the calculation:
Energy relative to the lowest polymorph listed for this composition (meV/atom): 268
Formation energy (no corrections) (eV per atom): -1.126
SG: No. 160

***

# 16
Sm3P2N | PBE-GGA | optimized geometry

Geometry as POSCAR:
```
Sm3P2N
1.0
6.240 -2.885 0.000
6.240 2.885 0.000
-2.407 0.000 7.353
Sm P N
6 4 2
Direct
0.044 0.956 0.750
0.350 0.353 0.425
0.353 0.350 0.925
0.647 0.650 0.075
0.650 0.647 0.575
0.956 0.044 0.250
0.168 0.176 0.085
0.176 0.168 0.585
0.824 0.832 0.415
0.832 0.824 0.915
0.452 0.548 0.750
0.548 0.452 0.250
```

Values from the calculation:
Formation energy (no corrections) (eV per atom): -1.414
SG: No. 15

***

# 17
Sm12P3N5 | PBE-GGA | optimized geometry

Geometry as POSCAR:
```
Sm12P3N5
1.0
-7.726 7.726 7.726
7.726 -7.726 7.726
7.726 7.726 -7.726
Sm P N
48 12 20
Direct
0.024 0.206 0.119
0.024 0.318 0.905
0.087 0.706 0.682
0.087 0.881 0.405
0.095 0.619 0.413
0.095 0.976 0.682
0.119 0.024 0.206
0.119 0.595 0.913
0.182 0.206 0.587
0.182 0.476 0.595
0.206 0.119 0.024
0.206 0.587 0.182
0.294 0.318 0.913
0.294 0.476 0.381
0.318 0.905 0.024
0.318 0.913 0.294
0.381 0.294 0.476
0.381 0.587 0.905
0.405 0.087 0.881
0.405 0.818 0.524
0.413 0.095 0.619
0.413 0.818 0.794
0.476 0.381 0.294
0.476 0.595 0.182
0.524 0.405 0.818
0.524 0.619 0.706
0.587 0.182 0.206
0.587 0.905 0.381
0.595 0.182 0.476
0.595 0.913 0.119
0.619 0.413 0.095
0.619 0.706 0.524
0.682 0.087 0.706
0.682 0.095 0.976
0.706 0.524 0.619
0.706 0.682 0.087
0.794 0.413 0.818
0.794 0.881 0.976
0.818 0.524 0.405
0.818 0.794 0.413
0.881 0.405 0.087
0.881 0.976 0.794
0.905 0.024 0.318
0.905 0.381 0.587
0.913 0.119 0.595
0.913 0.294 0.318
0.976 0.682 0.095
0.976 0.794 0.881
0.125 0.250 0.375
0.125 0.375 0.750
0.250 0.375 0.125
0.250 0.875 0.625
0.375 0.125 0.250
0.375 0.750 0.125
0.625 0.250 0.875
0.625 0.875 0.750
0.750 0.125 0.375
0.750 0.625 0.875
0.875 0.625 0.250
0.875 0.750 0.625
0.000 0.000 0.000
0.000 0.000 0.500
0.000 0.500 0.000
0.000 0.500 0.500
0.125 0.750 0.875
0.125 0.875 0.250
0.250 0.125 0.875
0.250 0.625 0.375
0.375 0.250 0.625
0.375 0.625 0.750
0.500 0.000 0.000
0.500 0.000 0.500
0.500 0.500 0.000
0.500 0.500 0.500
0.625 0.375 0.250
0.625 0.750 0.375
0.750 0.375 0.625
0.750 0.875 0.125
0.875 0.125 0.750
0.875 0.250 0.125
```

Values from the calculation:
Formation energy (no corrections) (eV per atom): -1.042
SG: No. 230

***

# 18
Sm4P2N | PBE-GGA | optimized geometry

Geometry as POSCAR:
```
Sm4P2N
1.0
-2.320 2.320 7.584
2.320 -2.320 7.584
2.320 2.320 -7.584
Sm P N
4 2 1
Direct
0.000 0.500 0.500
0.173 0.173 0.000
0.500 0.000 0.500
0.827 0.827 0.000
0.364 0.364 0.000
0.636 0.636 0.000
0.000 0.000 0.000
```

Values from the calculation:
Formation energy (no corrections) (eV per atom): -1.058
SG: No. 139

***

# 19
Sm2PN | PBE-GGA | optimized geometry

Geometry as POSCAR:
```
Sm2PN
1.0
1.907 1.101 6.391
-1.907 1.101 6.391
0.000 -2.202 6.391
Sm P N
2 1 1
Direct
0.240 0.240 0.240
0.760 0.760 0.760
0.000 0.000 0.000
0.500 0.500 0.500
```

Values from the calculation:
Energy relative to the lowest polymorph listed for this composition (meV/atom): 0
Formation energy (no corrections) (eV per atom): -1.394
SG: No. 166

***

# 20
SmPN2 | PBE-GGA | optimized geometry

Geometry as POSCAR:
```
SmPN2
1.0
3.462 -3.081 0.000
3.462 3.081 0.000
-3.078 0.000 6.017
Sm P N
2 2 4
Direct
0.149 0.851 0.750
0.851 0.149 0.250
0.349 0.651 0.250
0.651 0.349 0.750
0.078 0.665 0.351
0.335 0.922 0.149
0.665 0.078 0.851
0.922 0.335 0.649
```

Values from the calculation:
Energy relative to the lowest polymorph listed for this composition (meV/atom): 4
Formation energy (no corrections) (eV per atom): -0.968
SG: No. 15